The following is a DFT calculation (PBE-GGA) of a geometry-optimized Dy3Ni6P5 structure.

Values from the calculation:
ΔE_f: -14.01 eV/f.u.

Cell: 3.770 9.360 11.554 Å, 90.00 90.00 90.00°
Fractional positions:
Dy: 0.500 0.748 0.500
Ni: 0.500 0.391 0.813
Ni: 0.500 0.391 0.187
P: 0.000 0.516 0.128
Dy: 0.500 0.750 0.160
Dy: 0.000 0.250 0.340
Dy: 0.000 0.252 0.000
P: 0.500 0.484 0.628
Ni: 0.000 0.987 0.500
Ni: 0.000 0.007 0.171
Dy: 0.000 0.250 0.660
P: 0.000 0.854 0.330
P: 0.000 0.854 0.670
P: 0.500 0.146 0.170
Ni: 0.000 0.609 0.687
P: 0.500 0.146 0.830
P: 0.500 0.484 0.372
P: 0.000 0.516 0.872
P: 0.000 0.879 0.000
Ni: 0.500 0.993 0.329
Ni: 0.500 0.512 0.000
P: 0.500 0.121 0.500
Dy: 0.500 0.750 0.840
Ni: 0.000 0.007 0.829
Ni: 0.000 0.488 0.500
Ni: 0.000 0.609 0.313
Ni: 0.500 0.993 0.671
Ni: 0.500 0.013 0.000


The following is a DFT calculation (PBE-GGA) of a geometry-optimized DyNi6P4 structure.

Values from the calculation:
ΔE_f: -7.58 eV/f.u.

Cell: 3.620 6.606 6.606 Å, 120.00 90.00 90.00°
Fractional positions:
P: 0.500 0.811 0.621
P: 0.500 0.379 0.189
Ni: 0.500 0.203 0.405
Ni: 0.500 0.595 0.797
Dy: 0.000 0.000 0.000
P: 0.500 0.811 0.189
P: 0.000 0.333 0.667
Ni: 0.000 0.536 0.073
Ni: 0.500 0.203 0.797
Ni: 0.000 0.536 0.464
Ni: 0.000 0.927 0.464


The following is a DFT calculation (PBE-GGA) of a geometry-optimized Dy2Ni3P2 structure.

Values from the calculation:
ΔE_f: -6.30 eV/f.u.

Cell: 3.676 5.309 6.654 Å, 115.48 90.00 110.25°
Fractional positions:
Dy: 0.868 0.737 0.232
Ni: 0.640 0.280 0.428
Dy: 0.132 0.263 0.768
P: 0.849 0.698 0.780
P: 0.151 0.302 0.220
Ni: 0.360 0.720 0.572
Ni: 0.500 0.000 0.000


The following is a DFT calculation (PBE-GGA) of a geometry-optimized DyNiP2 structure.

Values from the calculation:
ΔE_f: -3.86 eV/f.u.

Cell: 3.749 3.749 9.796 Å, 101.09 101.09 89.67°
Fractional positions:
Ni: 0.757 0.257 0.500
Dy: 0.890 0.890 0.764
P: 0.326 0.326 0.636
P: 0.943 0.512 0.000
P: 0.689 0.689 0.364
Ni: 0.257 0.757 0.500
Dy: 0.126 0.126 0.236
P: 0.512 0.943 0.000


The following is a DFT calculation (PBE-GGA) of a geometry-optimized Dy2Ni5P4 structure.

Values from the calculation:
ΔE_f: -8.81 eV/f.u.

Cell: 5.274 5.329 7.000 Å, 79.26 67.87 60.35°
Fractional positions:
Dy: 0.143 0.000 0.713
Dy: 0.857 0.000 0.287
Ni: 0.750 0.500 0.500
P: 0.783 0.696 0.738
Ni: 0.000 0.500 0.000
P: 0.217 0.304 0.262
Ni: 0.250 0.500 0.500
Ni: 0.500 0.000 0.000
P: 0.479 0.304 0.738
P: 0.521 0.696 0.262
Ni: 0.500 0.500 0.000


The following is a DFT calculation (PBE-GGA) of a geometry-optimized DyNi5P3 structure.

Values from the calculation:
ΔE_f: -6.93 eV/f.u.

Cell: 3.559 6.084 11.429 Å, 90.00 90.00 107.01°
Fractional positions:
Ni: 0.201 0.402 0.927
Ni: 0.000 0.000 0.000
Dy: 0.158 0.315 0.250
P: 0.618 0.235 0.457
Ni: 0.799 0.598 0.073
Ni: 0.450 0.899 0.355
Ni: 0.550 0.101 0.645
Ni: 0.000 0.000 0.500
Ni: 0.550 0.101 0.855
P: 0.382 0.765 0.543
P: 0.618 0.235 0.043
Dy: 0.842 0.685 0.750
P: 0.881 0.762 0.250
Ni: 0.201 0.402 0.573
P: 0.119 0.238 0.750
Ni: 0.450 0.899 0.145
P: 0.382 0.765 0.957
Ni: 0.799 0.598 0.427


The following is a DFT calculation (PBE-GGA) of a geometry-optimized DyNi4P2 structure.

Values from the calculation:
ΔE_f: -5.82 eV/f.u.

Cell: 7.099 7.099 3.605 Å, 90.00 90.00 90.00°
Fractional positions:
Dy: 0.000 0.000 0.000
P: 0.721 0.279 0.000
Ni: 0.164 0.416 0.000
P: 0.279 0.721 0.000
Ni: 0.336 0.916 0.500
Ni: 0.584 0.836 0.000
Ni: 0.416 0.164 0.000
Ni: 0.084 0.664 0.500
P: 0.779 0.779 0.500
Dy: 0.500 0.500 0.500
Ni: 0.664 0.084 0.500
Ni: 0.836 0.584 0.000
P: 0.221 0.221 0.500
Ni: 0.916 0.336 0.500


The following is a DFT calculation (PBE-GGA) of a geometry-optimized Dy2Ni5P3 structure.

Values from the calculation:
ΔE_f: -8.79 eV/f.u.

Cell: 3.769 6.708 11.748 Å, 90.00 99.23 90.00°
Fractional positions:
Ni: 0.153 0.325 0.305
P: 0.378 0.988 0.755
Ni: 0.719 0.514 0.438
Ni: 0.713 0.135 0.426
Ni: 0.287 0.635 0.574
Dy: 0.549 0.159 0.099
Ni: 0.281 0.014 0.562
Dy: 0.159 0.820 0.318
P: 0.247 0.326 0.495
P: 0.622 0.488 0.245
Ni: 0.568 0.746 0.136
Ni: 0.056 0.503 0.113
Dy: 0.841 0.320 0.682
P: 0.753 0.826 0.505
Ni: 0.944 0.003 0.887
P: 0.031 0.848 0.061
P: 0.969 0.348 0.939
Ni: 0.432 0.246 0.864
Ni: 0.847 0.825 0.695
Dy: 0.451 0.659 0.901


The highest ΔE_f belongs to which entry? DyNiP2